This record from Alexandria describes a relaxed Co3Ni crystal. The functional is PBE.

Calculated values
Space-group type ... P6_3/mmc, No. 194
DFT formation energy ... -0.027 eV/atom

Cell: 5.000 5.000 4.025 Å, 90.00 90.00 120.00°
Atoms (fractional coordinates):
Co1 0.165 0.331 0.250
Co2 0.165 0.835 0.250
Co3 0.331 0.165 0.750
Co4 0.669 0.835 0.250
Co5 0.835 0.165 0.750
Co6 0.835 0.669 0.750
Ni1 0.333 0.667 0.750
Ni2 0.667 0.333 0.250



This record from Alexandria describes a relaxed CoNi2 crystal. The functional is PBE.

Calculated values
Space-group type ... C2/c, No. 15
DFT formation energy ... -0.003 eV/atom

Cell: 4.309 4.309 4.301 Å, 99.40 99.40 120.15°
Atoms (fractional coordinates):
Co1 0.082 0.918 0.750
Co2 0.918 0.082 0.250
Ni1 0.250 0.750 0.250
Ni2 0.417 0.583 0.750
Ni3 0.583 0.417 0.250
Ni4 0.750 0.250 0.750



What did the first record say?
This record from Alexandria describes a relaxed Co3Ni crystal. The functional is PBE.

Calculated values
Space-group type ... P6_3/mmc, No. 194
DFT formation energy ... -0.027 eV/atom

Cell: 5.000 5.000 4.025 Å, 90.00 90.00 120.00°
Atoms (fractional coordinates):
Co1 0.165 0.331 0.250
Co2 0.165 0.835 0.250
Co3 0.331 0.165 0.750
Co4 0.669 0.835 0.250
Co5 0.835 0.165 0.750
Co6 0.835 0.669 0.750
Ni1 0.333 0.667 0.750
Ni2 0.667 0.333 0.250